Run one
A relaxed FeHgPb crystal. Source: the Alexandria database, functional PBE-GGA.

Lattice parameters (Å, degrees): 3.268 3.268 7.225 90.00 90.00 120.00
Fractional coordinates of all 3 atoms:
Fe1 0.000 0.000 0.009
Hg1 0.333 0.667 0.293
Pb1 0.667 0.333 0.698

Computed properties:
- density of states at the Fermi level (states/eV per cell) = 2.39


Run two
A relaxed FeHgPb crystal. Source: the Alexandria database, functional PBE-GGA.

Lattice parameters (Å, degrees): 7.015 7.011 3.175 76.99 76.84 26.17
Fractional coordinates of all 3 atoms:
Fe1 0.991 0.991 0.009
Hg1 0.364 0.364 0.636
Pb1 0.646 0.646 0.354

Computed properties:
- density of states at the Fermi level (states/eV per cell) = 3.52


Which structure is the most stable? The one labeled run two.


Run one
A relaxed Fe2HgPb crystal. Source: the Alexandria database, functional PBE-GGA.

Lattice parameters (Å, degrees): 3.334 3.593 6.873 69.46 90.00 90.00
Fractional coordinates of all 4 atoms:
Fe1 0.000 0.884 0.060
Fe2 0.000 0.616 0.440
Hg1 0.500 0.250 0.250
Pb1 0.500 0.750 0.750

Computed properties:
- density of states at the Fermi level (states/eV per cell) = 3.28


Run two
A relaxed Fe2HgPb crystal. Source: the Alexandria database, functional PBE-GGA.

Lattice parameters (Å, degrees): 4.638 4.638 3.287 90.00 90.00 90.00
Fractional coordinates of all 4 atoms:
Fe1 0.000 0.000 0.000
Fe2 0.500 0.500 0.000
Hg1 0.500 0.000 0.500
Pb1 0.000 0.500 0.500

Computed properties:
- density of states at the Fermi level (states/eV per cell) = 5.06


Run three
A relaxed Fe2HgPb crystal. Source: the Alexandria database, functional PBE-GGA.

Lattice parameters (Å, degrees): 4.794 6.928 3.208 62.64 89.86 124.67
Fractional coordinates of all 4 atoms:
Fe1 0.000 0.000 0.000
Fe2 0.000 0.500 0.500
Hg1 0.500 0.500 0.000
Pb1 0.500 0.000 0.500

Computed properties:
- density of states at the Fermi level (states/eV per cell) = 4.37


Run four
A relaxed Fe2HgPb crystal. Source: the Alexandria database, functional PBE-GGA.

Lattice parameters (Å, degrees): 5.009 5.009 5.009 129.48 129.48 74.23
Fractional coordinates of all 4 atoms:
Fe1 0.000 0.000 0.000
Fe2 0.500 0.500 0.000
Hg1 0.250 0.750 0.500
Pb1 0.750 0.250 0.500

Computed properties:
- density of states at the Fermi level (states/eV per cell) = 3.90


Which structure is the most stable? The one labeled run one.


Run one
A relaxed Fe2HgPb crystal. Source: the Alexandria database, functional PBE-GGA.

Lattice parameters (Å, degrees): 3.196 3.132 7.773 90.00 90.00 90.00
Fractional coordinates of all 4 atoms:
Fe1 0.000 0.000 0.064
Fe2 0.500 0.500 0.199
Hg1 0.000 0.000 0.432
Pb1 0.500 0.500 0.806

Computed properties:
- density of states at the Fermi level (states/eV per cell) = 3.38


Run two
A relaxed Fe2HgPb crystal. Source: the Alexandria database, functional PBE-GGA.

Lattice parameters (Å, degrees): 4.640 4.640 4.640 60.00 60.00 60.00
Fractional coordinates of all 4 atoms:
Pb1 0.500 0.500 0.500
Hg1 0.000 0.000 0.000
Fe1 0.250 0.250 0.250
Fe2 0.750 0.750 0.750

Computed properties:
- density of states at the Fermi level (states/eV per cell) = 5.47


Run three
A relaxed Fe2HgPb crystal. Source: the Alexandria database, functional PBE-GGA.

Lattice parameters (Å, degrees): 5.266 5.266 5.266 134.77 134.77 65.89
Fractional coordinates of all 4 atoms:
Fe1 0.000 0.000 0.000
Fe2 0.250 0.750 0.500
Hg1 0.500 0.500 0.000
Pb1 0.750 0.250 0.500

Computed properties:
- density of states at the Fermi level (states/eV per cell) = 4.12


Which structure is the most stable? The one labeled run one.


Run one
A relaxed FeHg2Pd crystal. Source: the Alexandria database, functional PBE-GGA.

Lattice parameters (Å, degrees): 4.632 4.632 4.632 60.00 60.00 60.00
Fractional coordinates of all 4 atoms:
Hg1 0.250 0.250 0.250
Hg2 0.750 0.750 0.750
Pd1 0.500 0.500 0.500
Fe1 0.000 0.000 0.000

Computed properties:
- density of states at the Fermi level (states/eV per cell) = 4.17


Run two
A relaxed FeHg2Pd crystal. Source: the Alexandria database, functional PBE-GGA.

Lattice parameters (Å, degrees): 4.014 4.014 10.222 78.68 78.68 90.00
Fractional coordinates of all 8 atoms:
Hg1 0.624 0.125 0.250
Hg2 0.126 0.625 0.250
Hg3 0.375 0.376 0.750
Hg4 0.875 0.874 0.750
Pd1 0.000 0.000 0.000
Pd2 0.750 0.250 0.500
Fe1 0.500 0.500 0.000
Fe2 0.250 0.750 0.500

Computed properties:
- density of states at the Fermi level (states/eV per cell) = 5.78


Which structure is the most stable? The one labeled run one.


Run one
A relaxed FeHg2Pd8 crystal. Source: the Alexandria database, functional PBE-GGA.

Lattice parameters (Å, degrees): 4.552 6.082 7.677 113.34 107.25 90.00
Fractional coordinates of all 11 atoms:
Fe1 0.500 0.000 0.000
Pd1 0.638 0.872 0.276
Pd2 0.362 0.596 0.724
Pd3 0.172 0.172 0.344
Pd4 0.000 0.253 0.000
Pd5 0.828 0.828 0.656
Pd6 0.638 0.404 0.276
Pd7 0.362 0.128 0.724
Pd8 0.000 0.747 0.000
Hg1 0.187 0.687 0.374
Hg2 0.813 0.313 0.626

Computed properties:
- density of states at the Fermi level (states/eV per cell) = 5.94


Run two
A relaxed FeHg2Pd8 crystal. Source: the Alexandria database, functional PBE-GGA.

Lattice parameters (Å, degrees): 4.918 6.701 6.701 79.68 75.74 75.74
Fractional coordinates of all 11 atoms:
Fe1 0.000 0.000 0.000
Hg1 0.476 0.159 0.159
Hg2 0.524 0.841 0.841
Pd1 0.809 0.159 0.685
Pd2 0.191 0.315 0.841
Pd3 0.900 0.273 0.273
Pd4 0.100 0.727 0.727
Pd5 0.809 0.685 0.159
Pd6 0.191 0.841 0.315
Pd7 0.295 0.434 0.434
Pd8 0.705 0.566 0.566

Computed properties:
- density of states at the Fermi level (states/eV per cell) = 9.10


Which structure is the most stable? The one labeled run one.


Run one
A relaxed Pm3FeHg crystal. Source: the Alexandria database, functional PBE-GGA.

Lattice parameters (Å, degrees): 3.791 8.828 8.754 110.37 90.00 90.00
Fractional coordinates of all 10 atoms:
Pm1 0.250 0.584 0.327
Pm2 0.750 0.416 0.673
Pm3 0.250 0.073 0.682
Pm4 0.750 0.228 0.054
Pm5 0.750 0.927 0.318
Pm6 0.250 0.772 0.946
Fe1 0.750 0.574 0.058
Fe2 0.250 0.426 0.942
Hg1 0.750 0.774 0.642
Hg2 0.250 0.226 0.358

Computed properties:
- density of states at the Fermi level (states/eV per cell) = 11.47


Run two
A relaxed Pm3FeHg crystal. Source: the Alexandria database, functional PBE-GGA.

Lattice parameters (Å, degrees): 5.219 5.219 5.219 90.00 90.00 90.00
Fractional coordinates of all 5 atoms:
Fe1 0.000 0.000 0.000
Hg1 0.500 0.500 0.500
Pm1 0.000 0.500 0.000
Pm2 0.000 0.000 0.500
Pm3 0.500 0.000 0.000

Computed properties:
- density of states at the Fermi level (states/eV per cell) = 7.13


Which structure is the most stable? The one labeled run one.


Run one
A relaxed FeHg3Pt crystal. Source: the Alexandria database, functional PBE-GGA.

Lattice parameters (Å, degrees): 4.975 4.975 4.975 90.00 90.00 90.00
Fractional coordinates of all 5 atoms:
Hg1 0.000 0.500 0.000
Hg2 0.000 0.000 0.500
Hg3 0.500 0.000 0.000
Pt1 0.500 0.500 0.500
Fe1 0.000 0.000 0.000

Computed properties:
- density of states at the Fermi level (states/eV per cell) = 7.39


Run two
A relaxed FeHg3Pt crystal. Source: the Alexandria database, functional PBE-GGA.

Lattice parameters (Å, degrees): 5.260 5.260 5.260 90.00 90.00 90.00
Fractional coordinates of all 5 atoms:
Hg1 0.000 0.500 0.000
Hg2 0.000 0.000 0.500
Hg3 0.500 0.000 0.000
Pt1 0.000 0.000 0.000
Fe1 0.500 0.500 0.500

Computed properties:
- density of states at the Fermi level (states/eV per cell) = 5.47


Which structure is the most stable? The one labeled run two.


Run one
A relaxed FeHgPt crystal. Source: the Alexandria database, functional PBE-GGA.

Lattice parameters (Å, degrees): 5.147 5.147 5.147 147.53 137.08 54.83
Fractional coordinates of all 3 atoms:
Fe1 0.015 0.015 0.000
Hg1 0.336 0.336 0.000
Pt1 0.649 0.649 0.000

Computed properties:
- density of states at the Fermi level (states/eV per cell) = 2.28


Run two
A relaxed FeHgPt crystal. Source: the Alexandria database, functional PBE-GGA.

Lattice parameters (Å, degrees): 4.481 4.481 2.866 90.00 90.00 120.00
Fractional coordinates of all 3 atoms:
Fe1 0.000 0.000 0.892
Hg1 0.333 0.667 0.327
Pt1 0.667 0.333 0.781

Computed properties:
- density of states at the Fermi level (states/eV per cell) = 1.93


Which structure is the most stable? The one labeled run one.


Run one
A relaxed FeHgPt crystal. Source: the Alexandria database, functional PBE-GGA.

Lattice parameters (Å, degrees): 6.266 6.266 6.266 153.46 153.46 37.88
Fractional coordinates of all 3 atoms:
Fe1 0.011 0.011 0.000
Hg1 0.339 0.339 0.000
Pt1 0.651 0.651 0.000

Computed properties:
- density of states at the Fermi level (states/eV per cell) = 1.95


Run two
A relaxed FeHgPt crystal. Source: the Alexandria database, functional PBE-GGA.

Lattice parameters (Å, degrees): 4.391 4.391 4.391 60.00 60.00 60.00
Fractional coordinates of all 3 atoms:
Fe1 0.000 0.000 0.000
Hg1 0.500 0.500 0.500
Pt1 0.750 0.750 0.750

Computed properties:
- density of states at the Fermi level (states/eV per cell) = 5.24


Which structure is the most stable? The one labeled run one.


Run one
A relaxed RbFeHg3 crystal. Source: the Alexandria database, functional PBE-GGA.

Lattice parameters (Å, degrees): 6.876 6.876 6.876 90.00 90.00 90.00
Fractional coordinates of all 5 atoms:
Hg1 0.000 0.500 0.000
Hg2 0.000 0.000 0.500
Hg3 0.500 0.000 0.000
Rb1 0.000 0.000 0.000
Fe1 0.500 0.500 0.500

Computed properties:
- density of states at the Fermi level (states/eV per cell) = 4.82


Run two
A relaxed RbFeHg3 crystal. Source: the Alexandria database, functional PBE-GGA.

Lattice parameters (Å, degrees): 5.275 5.275 5.275 90.00 90.00 90.00
Fractional coordinates of all 5 atoms:
Hg1 0.000 0.500 0.000
Hg2 0.000 0.000 0.500
Hg3 0.500 0.000 0.000
Rb1 0.500 0.500 0.500
Fe1 0.000 0.000 0.000

Computed properties:
- density of states at the Fermi level (states/eV per cell) = 5.15


Which structure is the most stable? The one labeled run two.


Run one
A relaxed RbFe3Hg crystal. Source: the Alexandria database, functional PBE-GGA.

Lattice parameters (Å, degrees): 5.117 5.117 5.117 90.00 90.00 90.00
Fractional coordinates of all 5 atoms:
Hg1 0.000 0.000 0.000
Rb1 0.500 0.500 0.500
Fe1 0.000 0.500 0.000
Fe2 0.000 0.000 0.500
Fe3 0.500 0.000 0.000

Computed properties:
- density of states at the Fermi level (states/eV per cell) = 9.87


Run two
A relaxed RbFe3Hg crystal. Source: the Alexandria database, functional PBE-GGA.

Lattice parameters (Å, degrees): 4.705 4.705 4.705 90.00 90.00 90.00
Fractional coordinates of all 5 atoms:
Hg1 0.500 0.500 0.500
Rb1 0.000 0.000 0.000
Fe1 0.000 0.500 0.000
Fe2 0.000 0.000 0.500
Fe3 0.500 0.000 0.000

Computed properties:
- density of states at the Fermi level (states/eV per cell) = 6.60


Which structure is the most stable? The one labeled run one.


Run one
A relaxed Fe2ReHg crystal. Source: the Alexandria database, functional PBE-GGA.

Lattice parameters (Å, degrees): 2.864 2.870 7.221 90.00 90.00 90.00
Fractional coordinates of all 4 atoms:
Fe1 0.000 0.000 0.006
Fe2 0.500 0.500 0.206
Hg1 0.000 0.000 0.488
Re1 0.500 0.500 0.800

Computed properties:
- density of states at the Fermi level (states/eV per cell) = 2.98


Run two
A relaxed Fe2ReHg crystal. Source: the Alexandria database, functional PBE-GGA.

Lattice parameters (Å, degrees): 2.761 2.761 7.642 90.00 90.00 90.00
Fractional coordinates of all 4 atoms:
Fe1 0.000 0.000 0.975
Fe2 0.000 0.000 0.525
Hg1 0.500 0.500 0.250
Re1 0.500 0.500 0.750

Computed properties:
- density of states at the Fermi level (states/eV per cell) = 4.11


Run three
A relaxed Fe2ReHg crystal. Source: the Alexandria database, functional PBE-GGA.

Lattice parameters (Å, degrees): 4.380 4.380 4.380 60.00 60.00 60.00
Fractional coordinates of all 4 atoms:
Fe1 0.000 0.000 0.000
Fe2 0.250 0.250 0.250
Hg1 0.500 0.500 0.500
Re1 0.750 0.750 0.750

Computed properties:
- density of states at the Fermi level (states/eV per cell) = 3.88


Run four
A relaxed Fe2ReHg crystal. Source: the Alexandria database, functional PBE-GGA.

Lattice parameters (Å, degrees): 5.260 5.260 5.260 148.23 129.52 60.89
Fractional coordinates of all 4 atoms:
Fe1 0.989 0.989 0.000
Fe2 0.771 0.271 0.500
Hg1 0.510 0.510 0.000
Re1 0.230 0.730 0.500

Computed properties:
- density of states at the Fermi level (states/eV per cell) = 3.76


Which structure is the most stable? The one labeled run two.